(1)
This record from Alexandria describes a geometry-optimized Co2TcGe structure. The functional is PBE.

Geometry as POSCAR:
```
Co2TcGe
1.0
2.7045 0.0000 0.0000
0.0000 2.7045 0.0000
0.0000 0.0000 6.7124
Ge Co Tc
1 2 1
Cartesian
1.3522 1.3522 0.0000
0.0000 0.0000 5.1373
0.0000 0.0000 1.5751
1.3522 1.3522 3.3562
```


(2)
This record from Alexandria describes a geometry-optimized CoTc3Ge structure. The functional is PBE.

Geometry as POSCAR:
```
CoTc3Ge
1.0
4.4123 0.0000 0.0000
0.0000 4.4123 0.0000
0.0000 0.0000 4.4123
Ge Co Tc
1 1 3
Cartesian
2.2062 2.2062 2.2062
0.0000 0.0000 0.0000
0.0000 2.2062 0.0000
0.0000 0.0000 2.2062
2.2062 0.0000 0.0000
```

Results
ΔE to the lowest computed polymorph in meV per atom: 0


(3)
This record from Alexandria describes a geometry-optimized Co2TcGe structure. The functional is PBE.

Geometry as POSCAR:
```
Co2TcGe
1.0
3.6290 0.0000 0.0000
0.0000 3.7397 0.0000
0.0000 0.0000 3.7397
Ge Co Tc
1 2 1
Cartesian
1.8145 1.8699 1.8699
0.0000 0.0000 1.8699
0.0000 1.8699 0.0000
1.8145 0.0000 0.0000
```


For the records above, the corresponding DOS(E_F) values read 3.77, 6.80, 5.80 states/eV per cell.
For the records above, the corresponding E_form values read 0.01, 1.31, 0.07 eV per atom.